(1)
Below is a relaxed structure of BaZr2Cd, with properties calculated at the PBE level.

Values from the calculation:
As for the crystal system: tetragonal. For the energy, the calculation gives -35.1 eV/cell. Its density of states at the Fermi level is 5.11 states/eV/f.u. The volume comes out at 28.9 Å³ per atom.

POSCAR file:
```
BaZr2Cd
1.0
-1.7036 0.0857 -4.1757
3.0181 -3.0920 -1.2948
-6.6139 -9.7717 0.0616
Ba Cd Zr
2 2 4
Direct
0.0000 0.0000 0.0000 Ba
0.7500 0.2500 0.5000 Ba
0.5000 0.5000 0.0000 Cd
0.2500 0.7500 0.5000 Cd
0.3750 0.3985 0.7500 Zr
0.6015 0.1250 0.2500 Zr
0.1485 0.6250 0.2500 Zr
0.8750 0.8515 0.7500 Zr
```

(2)
Below is a relaxed structure of Fe4Ag, with properties calculated at the PBE level.

Values from the calculation:
As for the crystal system: tetragonal. For the energy, the calculation gives -35.5 eV/cell. Its density of states at the Fermi level is 3.72 states/eV/f.u. The volume comes out at 13.1 Å³ per atom. The value obtained for the relative energy among the computed polymorphs is 0.000 eV/f.u.

POSCAR file:
```
Fe4Ag
1.0
-3.3591 3.3591 1.4487
3.3591 -3.3591 1.4487
3.3591 3.3591 -1.4487
Fe Ag
4 1
Direct
0.1793 0.6099 0.7892 Fe
0.6099 0.8207 0.4306 Fe
0.3901 0.1793 0.5694 Fe
0.8207 0.3901 0.2108 Fe
0.0000 0.0000 0.0000 Ag
```

(3)
Below is a relaxed structure of Er6Zn2Hg, with properties calculated at the PBE level.

Values from the calculation:
As for the crystal system: orthorhombic. For the energy, the calculation gives -64.8 eV/cell. Its density of states at the Fermi level is 9.21 states/eV/f.u. The volume comes out at 26.1 Å³ per atom. The value obtained for the relative energy among the computed polymorphs is 0.000 eV/f.u.

POSCAR file:
```
Er6Zn2Hg
1.0
-4.8890 4.8148 4.9887
4.8890 -4.8148 4.9887
4.8890 4.8148 -4.9887
Er Zn Hg
12 4 2
Direct
0.4472 0.2443 0.2029 Er
0.6794 0.9646 0.2853 Er
0.6794 0.3941 0.7147 Er
0.8190 0.2712 0.0901 Er
0.5528 0.7557 0.7971 Er
0.8190 0.7288 0.5478 Er
0.1810 0.2712 0.4522 Er
0.3206 0.0354 0.7147 Er
0.9586 0.7557 0.2029 Er
0.3206 0.6059 0.2853 Er
0.0414 0.2443 0.7971 Er
0.1810 0.7288 0.9099 Er
0.6366 0.0000 0.6366 Zn
0.1259 0.6259 0.5000 Zn
0.3634 0.0000 0.3634 Zn
0.8741 0.3741 0.5000 Zn
0.5000 0.5000 0.0000 Hg
0.0000 0.0000 0.0000 Hg
```

(4)
Below is a relaxed structure of Sm2PuOs2, with properties calculated at the PBE level.

Values from the calculation:
As for the crystal system: orthorhombic. For the energy, the calculation gives -47.2 eV/cell. Its density of states at the Fermi level is 6.06 states/eV/f.u. The volume comes out at 23.3 Å³ per atom. The value obtained for the relative energy among the computed polymorphs is 0.000 eV/f.u.

POSCAR file:
```
Sm2PuOs2
1.0
-3.3010 2.6426 0.6004
-2.4891 -2.0265 -4.7654
0.6976 -3.6352 4.6451
Sm Pu Os
2 1 2
Direct
0.8027 0.3027 0.6055 Sm
0.1973 0.6973 0.3945 Sm
0.0000 0.0000 0.0000 Pu
0.5000 0.7314 0.0000 Os
0.5000 0.2686 0.0000 Os
```

Formation enthalpy at 0 K readings, ordered: 591 240 -242 -189 meV/atom
Magnetization readings, ordered: 0.000 2.101 0.000 0.886 μB/atom
Density readings, ordered: 6.2 8.4 9.4 13.2 g/cm³